[1]
Density functional theory data (PBE) for a relaxed Dy2GaCu3Ni12 crystal.

## Properties
ρ, Mg/m³: 8.24
Energy of formation from the pure elements, meV/atom: 166.3
Final energy, eV per atom: -5.050
D(E_F), states/eV/atom: 1.3100

Cell lengths 9.3393, 9.3393, 9.3393 Å; angles 36.65, 36.65, 36.65 degrees
With the nearest neighbours (Å) after each atom.
Fractional coordinates of all 18 atoms:
Dy 0.1474 0.1474 0.1474  6 Ni 2.85-2.99
Dy 0.8526 0.8526 0.8526  6 Ni 2.85-2.99
Ga 0.5000 0.5000 0.5000  6 Ni 2.34
Cu 0.0000 0.5000 0.5000  6 Ni 2.32-2.55
Cu 0.5000 0.0000 0.5000  6 Ni 2.32-2.55
Cu 0.5000 0.5000 0.0000  6 Ni 2.32-2.55
Ni 0.0798 0.0798 0.6890  4 Ni 2.30-2.33, 2 Cu 2.32
Ni 0.0798 0.6890 0.0798  4 Ni 2.30-2.33, 2 Cu 2.32
Ni 0.1376 0.5773 0.5773  4 Ni 2.33-2.58, 1 Ga 2.34, 1 Cu 2.55
Ni 0.3110 0.9202 0.9202  4 Ni 2.30-2.33, 2 Cu 2.32
Ni 0.4227 0.4227 0.8624  4 Ni 2.33-2.58, 1 Ga 2.34, 1 Cu 2.55
Ni 0.4227 0.8624 0.4227  4 Ni 2.33-2.58, 1 Ga 2.34, 1 Cu 2.55
Ni 0.5773 0.1376 0.5773  4 Ni 2.33-2.58, 1 Ga 2.34, 1 Cu 2.55
Ni 0.5773 0.5773 0.1376  4 Ni 2.33-2.58, 1 Ga 2.34, 1 Cu 2.55
Ni 0.6890 0.0798 0.0798  4 Ni 2.30-2.33, 2 Cu 2.32
Ni 0.8624 0.4227 0.4227  4 Ni 2.33-2.58, 1 Ga 2.34, 1 Cu 2.55
Ni 0.9202 0.3110 0.9202  4 Ni 2.30-2.33, 2 Cu 2.32
Ni 0.9202 0.9202 0.3110  4 Ni 2.30-2.33, 2 Cu 2.32

[2]
Density functional theory data (PBE) for a relaxed DyGa4Cu2Ni crystal.

## Properties
ρ, Mg/m³: 8.13
Energy of formation from the pure elements, meV/atom: -336.7
Final energy, eV per atom: -4.172
D(E_F), states/eV/atom: 0.3473

Cell lengths 8.9647, 8.9647, 8.9647 Å; angles 26.69, 26.69, 26.69 degrees
With the nearest neighbours (Å) after each atom.
Fractional coordinates of all 8 atoms:
Dy 0.0000 0.0000 0.0000  6 Ga 2.98
Ga 0.1316 0.1316 0.1316  3 Ni 2.56, 4 Cu 2.57-2.76
Ga 0.4018 0.4018 0.4018  3 Cu 2.49, 1 Ni 2.55
Ga 0.5982 0.5982 0.5982  3 Cu 2.49, 1 Ni 2.55
Ga 0.8684 0.8684 0.8684  3 Ni 2.56, 4 Cu 2.57-2.76
Cu 0.2379 0.2379 0.2379  7 Ga 2.49-2.76
Cu 0.7621 0.7621 0.7621  7 Ga 2.49-2.76
Ni 0.5000 0.5000 0.5000  8 Ga 2.55-2.56

[3]
Density functional theory data (PBE) for a relaxed DyGa3CuNi crystal.

## Properties
ρ, Mg/m³: 7.82
Energy of formation from the pure elements, meV/atom: -236.6
Final energy, eV per atom: -4.163
D(E_F), states/eV/atom: 0.4409

Cell lengths 6.6525, 6.6525, 5.7400 Å; angles 90.00, 90.00, 124.31 degrees
With the nearest neighbours (Å) after each atom.
Fractional coordinates of all 12 atoms:
Dy 0.2164 0.7836 0.7500  1 Cu 2.71, 2 Ni 3.02
Dy 0.7836 0.2164 0.2500  1 Cu 2.71, 2 Ni 3.02
Ga 0.2040 0.2040 0.0000  2 Cu 2.42, 2 Ni 2.50, 1 Ga 2.54
Ga 0.2040 0.2040 0.5000  2 Cu 2.42, 2 Ni 2.50, 1 Ga 2.54
Ga 0.3384 0.6616 0.2500  1 Ni 2.38, 1 Cu 2.53
Ga 0.6616 0.3384 0.7500  1 Ni 2.38, 1 Cu 2.53
Ga 0.7960 0.7960 0.0000  2 Cu 2.42, 2 Ni 2.50, 1 Ga 2.54
Ga 0.7960 0.7960 0.5000  2 Cu 2.42, 2 Ni 2.50, 1 Ga 2.54
Cu 0.4467 0.5533 0.7500  5 Ga 2.42-2.53
Cu 0.5533 0.4467 0.2500  5 Ga 2.42-2.53
Ni 0.1365 0.8635 0.2500  5 Ga 2.38-2.50
Ni 0.8635 0.1365 0.7500  5 Ga 2.38-2.50

[4]
Density functional theory data (PBE) for a relaxed Dy2Ga3Cu12Ni crystal.

## Properties
ρ, Mg/m³: 8.05
Energy of formation from the pure elements, meV/atom: 37.1
Final energy, eV per atom: -4.031
D(E_F), states/eV/atom: 0.6383

Cell lengths 12.2448, 12.2448, 12.2448 Å; angles 24.59, 24.59, 24.59 degrees
With the nearest neighbours (Å) after each atom.
Fractional coordinates of all 18 atoms:
Dy 0.1446 0.1446 0.1446  9 Cu 2.86-3.13, 3 Ni 3.11
Dy 0.8554 0.8554 0.8554  9 Cu 2.86-3.13, 3 Ni 3.11
Ga 0.0000 0.5000 0.5000  4 Cu 2.55, 4 Ga 2.61
Ga 0.5000 0.0000 0.5000  4 Cu 2.55, 4 Ga 2.61
Ga 0.5000 0.5000 0.0000  4 Cu 2.55, 4 Ga 2.61
Cu 0.1029 0.1029 0.6225  6 Cu 2.47-2.71, 2 Ga 2.55
Cu 0.1029 0.6225 0.1029  6 Cu 2.47-2.71, 2 Ga 2.55
Cu 0.1133 0.6108 0.6108  1 Ni 2.47, 6 Cu 2.47-2.62
Cu 0.3775 0.8971 0.8971  6 Cu 2.47-2.71, 2 Ga 2.55
Cu 0.3892 0.3892 0.8867  1 Ni 2.47, 6 Cu 2.47-2.62
Cu 0.3892 0.8867 0.3892  1 Ni 2.47, 6 Cu 2.47-2.62
Cu 0.6108 0.1133 0.6108  1 Ni 2.47, 6 Cu 2.47-2.62
Cu 0.6108 0.6108 0.1133  1 Ni 2.47, 6 Cu 2.47-2.62
Cu 0.6225 0.1029 0.1029  6 Cu 2.47-2.71, 2 Ga 2.55
Cu 0.8867 0.3892 0.3892  1 Ni 2.47, 6 Cu 2.47-2.62
Cu 0.8971 0.3775 0.8971  6 Cu 2.47-2.71, 2 Ga 2.55
Cu 0.8971 0.8971 0.3775  6 Cu 2.47-2.71, 2 Ga 2.55
Ni 0.5000 0.5000 0.5000  6 Cu 2.47

[5]
Density functional theory data (PBE) for a relaxed DyGaCuNi crystal.

## Properties
Polymorph energy (0 for the lowest one), kJ/mol of atoms: 0.00
ρ, Mg/m³: 8.55
Energy of formation from the pure elements, meV/atom: -440.2
Final energy, eV per atom: -4.817
D(E_F), states/eV/atom: 0.7008

Cell lengths 5.0912, 5.0912, 5.0912 Å; angles 48.90, 48.90, 48.90 degrees
With the nearest neighbours (Å) after each atom.
Fractional coordinates of all 4 atoms:
Dy 0.0000 0.0000 0.0000  4 Ni 2.74-2.99, 4 Cu 2.77-2.97
Ga 0.5140 0.5140 0.5140  3 Ni 2.45, 3 Cu 2.54
Cu 0.7933 0.7933 0.7933  3 Ga 2.54, 3 Ni 2.65, 1 Dy 2.77
Ni 0.2042 0.2042 0.2042  3 Ga 2.45, 3 Cu 2.65, 1 Dy 2.74

[6]
Density functional theory data (PBE) for a relaxed DyGa2CuNi5 crystal.

## Properties
ρ, Mg/m³: 8.44
Energy of formation from the pure elements, meV/atom: -77.9
Final energy, eV per atom: -4.929
D(E_F), states/eV/atom: 0.5131

Cell lengths 3.7237, 3.7237, 9.3535 Å; angles 90.00, 90.00, 90.00 degrees
With the nearest neighbours (Å) after each atom.
Fractional coordinates of all 9 atoms:
Dy 0.0000 0.0000 0.0000  12 Ni 2.63-2.75
Ga 0.5000 0.5000 0.3702  4 Ni 2.35, 1 Ga 2.43
Ga 0.5000 0.5000 0.6298  4 Ni 2.35, 1 Ga 2.43
Cu 0.0000 0.0000 0.5000  8 Ga 2.90, 8 Ni 3.24
Ni 0.0000 0.5000 0.2162  2 Ga 2.35, 4 Ni 2.63
Ni 0.0000 0.5000 0.7838  2 Ga 2.35, 4 Ni 2.63
Ni 0.5000 0.0000 0.2162  2 Ga 2.35, 4 Ni 2.63
Ni 0.5000 0.0000 0.7838  2 Ga 2.35, 4 Ni 2.63
Ni 0.5000 0.5000 0.0000  4 Dy 2.63, 8 Ni 2.75

[7]
Density functional theory data (PBE) for a relaxed Dy2Ga3CuNi12 crystal.

## Properties
ρ, Mg/m³: 8.12
Energy of formation from the pure elements, meV/atom: 21.5
Final energy, eV per atom: -5.076
D(E_F), states/eV/atom: 0.7169

Cell lengths 9.1376, 9.1376, 9.1376 Å; angles 38.54, 38.54, 38.54 degrees
With the nearest neighbours (Å) after each atom.
Fractional coordinates of all 18 atoms:
Dy 0.1521 0.1521 0.1521  6 Ni 2.90-2.93
Dy 0.8479 0.8479 0.8479  6 Ni 2.90-2.93
Ga 0.0000 0.5000 0.5000  6 Ni 2.33-2.48
Ga 0.5000 0.0000 0.5000  6 Ni 2.33-2.48
Ga 0.5000 0.5000 0.0000  6 Ni 2.33-2.48
Cu 0.5000 0.5000 0.5000  6 Ni 2.31
Ni 0.0804 0.0804 0.6894  2 Ga 2.33, 4 Ni 2.36-2.38
Ni 0.0804 0.6894 0.0804  2 Ga 2.33, 4 Ni 2.36-2.38
Ni 0.1426 0.5748 0.5748  1 Cu 2.31, 2 Ni 2.38, 1 Ga 2.48
Ni 0.3106 0.9196 0.9196  2 Ga 2.33, 4 Ni 2.36-2.38
Ni 0.4252 0.4252 0.8574  1 Cu 2.31, 2 Ni 2.38, 1 Ga 2.48
Ni 0.4252 0.8574 0.4252  1 Cu 2.31, 2 Ni 2.38, 1 Ga 2.48
Ni 0.5748 0.1426 0.5748  1 Cu 2.31, 2 Ni 2.38, 1 Ga 2.48
Ni 0.5748 0.5748 0.1426  1 Cu 2.31, 2 Ni 2.38, 1 Ga 2.48
Ni 0.6894 0.0804 0.0804  2 Ga 2.33, 4 Ni 2.36-2.38
Ni 0.8574 0.4252 0.4252  1 Cu 2.31, 2 Ni 2.38, 1 Ga 2.48
Ni 0.9196 0.3106 0.9196  2 Ga 2.33, 4 Ni 2.36-2.38
Ni 0.9196 0.9196 0.3106  2 Ga 2.33, 4 Ni 2.36-2.38

[8]
Density functional theory data (PBE) for a relaxed DyGaCu2Ni2 crystal.

## Properties
ρ, Mg/m³: 7.73
Energy of formation from the pure elements, meV/atom: 122.2
Final energy, eV per atom: -4.442
D(E_F), states/eV/atom: 1.0598

Cell lengths 4.3517, 4.3517, 5.4061 Å; angles 90.00, 90.00, 90.00 degrees
With the nearest neighbours (Å) after each atom.
Fractional coordinates of all 6 atoms:
Dy 0.0000 0.0000 0.0000  2 Ga 2.70
Ga 0.0000 0.0000 0.5000  4 Ni 2.18
Cu 0.5000 0.5000 0.2431  4 Ni 2.58, 2 Cu 2.63-2.78
Cu 0.5000 0.5000 0.7569  4 Ni 2.58, 2 Cu 2.63-2.78
Ni 0.0000 0.5000 0.5000  2 Ga 2.18
Ni 0.5000 0.0000 0.5000  2 Ga 2.18